This record from Alexandria via LeMat-Bulk describes a relaxed LiTc2Au crystal. The functional is PBE.

Summary:
ΔE_f (eV/atom): 0.39

Unit cell a=3.5695 b=3.5695 c=19.8696 alpha=90.00 beta=90.00 gamma=90.00
Space group I-42d (No. 122)
Asymmetric unit:
Li1 0.0000 0.0000 0.0000 [4 per cell]
Tc1 0.2237 0.2500 0.1250 [8 per cell]
Au1 0.0000 0.0000 0.5000 [4 per cell]